# Be17NiOs

Crystalline Be17NiOs at its relaxed geometry (PBE-GGA, Alexandria via LeMat-Bulk).

Calculated values
Formation enthalpy at 0 K, eV/atom: -0.1253
Total energy, eV/atom: -4.35
Magnetic moment, μB/f.u.: 0.00

abc: 7.1642 7.1642 10.6701
angles: 90.00 90.00 120.00
Space group R3m (No. 160, hexagonal axes)
Inequivalent atoms, fractional coordinates:
Be  0.0000  0.0000  0.0583
Be  0.0000  0.0000  0.2641
Be  0.0027  0.5014  0.3157
Be  0.0045  0.3148  0.1581
Be  0.0083  0.5041  0.6536
Be  0.1745  0.3491  0.3333
Ni  0.0000  0.0000  0.5317
Os  0.0000  0.0000  0.8288



# PmFePt

Crystalline PmFePt at its relaxed geometry (PBE-GGA, Alexandria via LeMat-Bulk).

Calculated values
Formation enthalpy at 0 K, eV/atom: -0.3155
Total energy, eV/atom: -6.73
Magnetic moment, μB/f.u.: 2.73

abc: 3.512 3.512 9.661
angles: 90.00 90.00 90.00
Space group P4/mmm (No. 123)
Inequivalent atoms, fractional coordinates:
Pm  0.000  0.000  0.185
Fe  0.500  0.500  0.387
Pt  0.000  0.000  0.500
Pt  0.500  0.500  0.000



# MnBeIn2

Crystalline MnBeIn2 at its relaxed geometry (PBE-GGA, Alexandria via LeMat-Bulk).

Calculated values
Formation enthalpy at 0 K, eV/atom: 0.3926
Total energy, eV/atom: -4.20
Magnetic moment, μB/f.u.: 2.32

abc: 3.905 3.905 8.767
angles: 90.00 90.00 90.00
Space group I-4m2 (No. 119)
Inequivalent atoms, fractional coordinates:
Mn  0.000  0.000  0.000
Be  0.000  0.500  0.750
In  0.000  0.000  0.500
In  0.000  0.500  0.250



# PSe2I

Crystalline PSe2I at its relaxed geometry (PBE-GGA, Alexandria via LeMat-Bulk).

Calculated values
ΔE to the lowest computed polymorph, meV/atom: 799
Total energy, eV/atom: -2.62
Magnetic moment, μB/f.u.: 0.00

abc: 7.065 7.065 7.065
angles: 90.00 90.00 90.00
Space group Fm-3m (No. 225)
Inequivalent atoms, fractional coordinates:
P  0.000  0.000  0.000
Se  0.250  0.250  0.250
I  0.000  0.000  0.500



# GaGePb2

Crystalline GaGePb2 at its relaxed geometry (PBE-GGA, Alexandria via LeMat-Bulk).

Calculated values
Formation enthalpy at 0 K, eV/atom: 0.2532
Total energy, eV/atom: -3.51
Magnetic moment, μB/f.u.: 0.00

abc: 3.3560 3.3560 33.6222
angles: 90.00 90.00 120.00
Space group R-3m (No. 166, hexagonal axes)
Inequivalent atoms, fractional coordinates:
Ga  0.0000  0.0000  0.0000
Ge  0.0000  0.0000  0.5000
Pb  0.0000  0.0000  0.0907



# HoMg3Pd

Crystalline HoMg3Pd at its relaxed geometry (PBE-GGA, Alexandria via LeMat-Bulk).

Calculated values
ΔE to the lowest computed polymorph, meV/atom: 273
Formation enthalpy at 0 K, eV/atom: -0.1259
Total energy, eV/atom: -3.04
Magnetic moment, μB/f.u.: 0.00

abc: 5.439 5.439 18.320
angles: 90.00 90.00 90.00
Space group I-4m2 (No. 119)
Inequivalent atoms, fractional coordinates:
Ho  0.000  0.000  0.209
Mg  0.000  0.249  0.621
Mg  0.000  0.500  0.040
Pd  0.000  0.000  0.500
Pd  0.000  0.500  0.750



# Cu2TeCl

Crystalline Cu2TeCl at its relaxed geometry (PBE-GGA, Alexandria via LeMat-Bulk).

Calculated values
ΔE to the lowest computed polymorph, meV/atom: 71
Total energy, eV/atom: -3.45
Magnetic moment, μB/f.u.: 0.00

abc: 8.326 3.564 6.450
angles: 90.00 96.23 90.00
Space group Cm (No. 8)
Inequivalent atoms, fractional coordinates:
Cu  0.000  0.000  0.000
Cu  0.212  0.500  0.084
Te  0.428  0.000  0.265
Cl  0.154  0.000  0.746



# NdEr4

Crystalline NdEr4 at its relaxed geometry (PBE-GGA, Alexandria via LeMat-Bulk).

Calculated values
ΔE to the lowest computed polymorph, meV/atom: 693
Formation enthalpy at 0 K, eV/atom: 0.7158
Total energy, eV/atom: -3.89
Magnetic moment, μB/f.u.: 0.00

abc: 5.595 5.595 5.595
angles: 90.00 90.00 90.00
Space group Pm-3m (No. 221)
Inequivalent atoms, fractional coordinates:
Nd  0.000  0.000  0.000
Er  0.000  0.000  0.500
Er  0.500  0.500  0.500



# GeRhW3

Crystalline GeRhW3 at its relaxed geometry (PBE-GGA, Alexandria via LeMat-Bulk).

Calculated values
ΔE to the lowest computed polymorph, meV/atom: 0
Formation enthalpy at 0 K, eV/atom: 1.7510
Total energy, eV/atom: -8.41
Magnetic moment, μB/f.u.: 0.00

abc: 4.542 4.542 4.542
angles: 90.00 90.00 90.00
Space group Pm-3m (No. 221)
Inequivalent atoms, fractional coordinates:
Ge  0.000  0.000  0.000
Rh  0.500  0.500  0.500
W  0.000  0.000  0.500



# La4Pr5Hg

Crystalline La4Pr5Hg at its relaxed geometry (PBE-GGA, Alexandria via LeMat-Bulk).

Calculated values
Formation enthalpy at 0 K, eV/atom: -0.0910
Total energy, eV/atom: -4.48
Magnetic moment, μB/f.u.: 0.00

abc: 3.763 3.763 24.686
angles: 90.00 90.00 90.00
Space group P4/mmm (No. 123)
Inequivalent atoms, fractional coordinates:
La  0.000  0.000  0.104
La  0.000  0.000  0.315
Pr  0.500  0.500  0.000
Pr  0.500  0.500  0.210
Pr  0.500  0.500  0.418
Hg  0.000  0.000  0.500



# Th4SiSb2

Crystalline Th4SiSb2 at its relaxed geometry (PBE-GGA, Alexandria via LeMat-Bulk).

Calculated values
Total energy, eV/atom: -6.72
Magnetic moment, μB/f.u.: 0.00

abc: 16.183 4.283 7.281
angles: 90.00 116.69 90.00
Space group C2/m (No. 12)
Inequivalent atoms, fractional coordinates:
Th  0.109  0.000  0.272
Th  0.110  0.500  0.778
Si  0.000  0.000  0.500
Sb  0.249  0.500  0.256



# Rb2As2Se5

Crystalline Rb2As2Se5 at its relaxed geometry (PBE-GGA, Alexandria via LeMat-Bulk).

Calculated values
ΔE to the lowest computed polymorph, meV/atom: 52
Total energy, eV/atom: -3.63
Magnetic moment, μB/f.u.: 0.00

abc: 14.324 5.099 9.064
angles: 90.00 108.32 90.00
Space group C2/m (No. 12)
Inequivalent atoms, fractional coordinates:
Rb  0.077  0.000  0.334
As  0.159  0.500  0.911
Se  0.000  0.500  0.000
Se  0.099  0.500  0.639
Se  0.152  0.000  0.999



# Cs2Pu2TaSe6

Crystalline Cs2Pu2TaSe6 at its relaxed geometry (PBE-GGA, Alexandria via LeMat-Bulk).

Calculated values
Total energy, eV/atom: -6.97
Magnetic moment, μB/f.u.: 11.00

abc: 7.088 12.160 8.920
angles: 90.00 106.14 90.00
Space group C2/m (No. 12)
Inequivalent atoms, fractional coordinates:
Cs  0.000  0.172  0.000
Pu  0.000  0.333  0.500
Ta  0.000  0.000  0.500
Se  0.218  0.153  0.681
Se  0.244  0.000  0.321



# Sr2LiZn12Cu3

Crystalline Sr2LiZn12Cu3 at its relaxed geometry (PBE-GGA, Alexandria via LeMat-Bulk).

Calculated values
Formation enthalpy at 0 K, eV/atom: 0.1899
Total energy, eV/atom: -1.64
Magnetic moment, μB/f.u.: 0.00

abc: 8.6068 8.6068 18.8871
angles: 90.00 90.00 120.00
Space group R-3m (No. 166, hexagonal axes)
Inequivalent atoms, fractional coordinates:
Sr  0.0000  0.0000  0.1133
Li  0.0000  0.0000  0.5000
Zn  0.0198  0.5099  0.3290
Zn  0.0245  0.5123  0.1257
Cu  0.0000  0.5000  0.0000



# Dy5TmPb6

Crystalline Dy5TmPb6 at its relaxed geometry (PBE-GGA, Alexandria via LeMat-Bulk).

Calculated values
ΔE to the lowest computed polymorph, meV/atom: 0
Formation enthalpy at 0 K, eV/atom: -0.4242
Total energy, eV/atom: -4.57
Magnetic moment, μB/f.u.: 0.00

abc: 6.117 15.355 7.694
angles: 90.00 103.70 90.00
Space group C2/m (No. 12)
Inequivalent atoms, fractional coordinates:
Dy  0.000  0.000  0.000
Dy  0.000  0.332  0.000
Dy  0.000  0.335  0.500
Tm  0.000  0.000  0.500
Pb  0.001  0.166  0.747
Pb  0.004  0.500  0.248



# ErTaCoIr

Crystalline ErTaCoIr at its relaxed geometry (PBE-GGA, Alexandria via LeMat-Bulk).

Calculated values
Formation enthalpy at 0 K, eV/atom: -0.3091
Total energy, eV/atom: -8.40
Magnetic moment, μB/f.u.: 1.28

abc: 6.494 6.494 6.494
angles: 90.00 90.00 90.00
Space group F-43m (No. 216)
Inequivalent atoms, fractional coordinates:
Er  0.000  0.000  0.000
Ta  0.000  0.000  0.500
Co  0.250  0.250  0.750
Ir  0.250  0.250  0.250



# Ta3IrBr

Crystalline Ta3IrBr at its relaxed geometry (PBE-GGA, Alexandria via LeMat-Bulk).

Calculated values
ΔE to the lowest computed polymorph, meV/atom: 383
Total energy, eV/atom: -7.63
Magnetic moment, μB/f.u.: 0.00

abc: 4.633 4.633 4.633
angles: 90.00 90.00 90.00
Space group Pm-3m (No. 221)
Inequivalent atoms, fractional coordinates:
Ta  0.000  0.000  0.500
Ir  0.500  0.500  0.500
Br  0.000  0.000  0.000



# MgB2P

Crystalline MgB2P at its relaxed geometry (PBE-GGA, Alexandria via LeMat-Bulk).

Calculated values
ΔE to the lowest computed polymorph, meV/atom: 85
Formation enthalpy at 0 K, eV/atom: -0.0139
Total energy, eV/atom: -5.10
Magnetic moment, μB/f.u.: 0.00

abc: 4.397 4.649 5.855
angles: 88.72 72.48 76.92
Space group P-1 (No. 2)
Inequivalent atoms, fractional coordinates:
Mg  0.178  0.163  0.209
B  0.189  0.478  0.525
B  0.414  0.733  0.561
P  0.285  0.148  0.748



# LaBe

Crystalline LaBe at its relaxed geometry (PBE-GGA, Alexandria via LeMat-Bulk).

Calculated values
ΔE to the lowest computed polymorph, meV/atom: 1110
Formation enthalpy at 0 K, eV/atom: 1.1496
Total energy, eV/atom: -3.18
Magnetic moment, μB/f.u.: 0.86

abc: 6.503 6.503 6.503
angles: 90.00 90.00 90.00
Space group F-43m (No. 216)
Inequivalent atoms, fractional coordinates:
La  0.000  0.000  0.000
Be  0.250  0.250  0.250



# KCrSbTe2

Crystalline KCrSbTe2 at its relaxed geometry (PBE-GGA, Alexandria via LeMat-Bulk).

Calculated values
ΔE to the lowest computed polymorph, meV/atom: 1359
Total energy, eV/atom: -2.95
Magnetic moment, μB/f.u.: 3.61

abc: 5.985 5.985 5.803
angles: 90.00 90.00 90.00
Space group P4/mmm (No. 123)
Inequivalent atoms, fractional coordinates:
K  0.000  0.000  0.000
Cr  0.500  0.500  0.500
Sb  0.000  0.000  0.500
Te  0.000  0.500  0.000



# HoTm4Rh5

Crystalline HoTm4Rh5 at its relaxed geometry (PBE-GGA, Alexandria via LeMat-Bulk).

Calculated values
Formation enthalpy at 0 K, eV/atom: -0.9521
Total energy, eV/atom: -6.87
Magnetic moment, μB/f.u.: 0.00

abc: 3.344 3.344 17.320
angles: 90.00 90.00 90.00
Space group P4/mmm (No. 123)
Inequivalent atoms, fractional coordinates:
Ho  0.000  0.000  0.000
Tm  0.000  0.000  0.201
Tm  0.000  0.000  0.400
Rh  0.500  0.500  0.102
Rh  0.500  0.500  0.301
Rh  0.500  0.500  0.500



# VCuMo

Crystalline VCuMo at its relaxed geometry (PBE-GGA, Alexandria via LeMat-Bulk).

Calculated values
ΔE to the lowest computed polymorph, meV/atom: 38
Formation enthalpy at 0 K, eV/atom: 0.1628
Total energy, eV/atom: -7.85
Magnetic moment, μB/f.u.: 0.55

abc: 7.389 4.269 5.333
angles: 90.00 90.17 90.00
Space group C2/m (No. 12)
Inequivalent atoms, fractional coordinates:
V  0.000  0.000  0.241
Cu  0.167  0.500  0.414
Mo  0.166  0.500  0.912



# Pu3ZrNi8

Crystalline Pu3ZrNi8 at its relaxed geometry (PBE-GGA, Alexandria via LeMat-Bulk).

Calculated values
Formation enthalpy at 0 K, eV/atom: -0.3008
Total energy, eV/atom: -8.45
Magnetic moment, μB/f.u.: 15.79

abc: 5.0120 5.0120 24.5230
angles: 90.00 90.00 120.00
Space group R3m (No. 160, hexagonal axes)
Inequivalent atoms, fractional coordinates:
Pu  0.0000  0.0000  0.0000
Pu  0.0000  0.0000  0.1245
Pu  0.0000  0.0000  0.4958
Zr  0.0000  0.0000  0.6217
Ni  0.0000  0.0000  0.3107
Ni  0.0000  0.0000  0.8109
Ni  0.0028  0.5014  0.5628
Ni  0.1681  0.3362  0.3920



# Ac8Te4As3Ru

Crystalline Ac8Te4As3Ru at its relaxed geometry (PBE-GGA, Alexandria via LeMat-Bulk).

Calculated values
Total energy, eV/atom: -5.64
Magnetic moment, μB/f.u.: 0.00

abc: 9.1578 9.1578 23.2616
angles: 90.00 90.00 120.00
Space group R-3m (No. 166, hexagonal axes)
Inequivalent atoms, fractional coordinates:
Ac  0.0000  0.0000  0.2417
Ac  0.0140  0.5070  0.2387
Te  0.0000  0.0000  0.0000
Te  0.0000  0.5000  0.0000
As  0.0000  0.5000  0.5000
Ru  0.0000  0.0000  0.5000